# Pd2Pt3W

Crystalline Pd2Pt3W at its relaxed geometry (PBE, the Alexandria database).

Cell lengths 4.8788, 5.5871, 7.3758 Å; angles 112.26, 89.05, 90.00 degrees
Fractional positions:
Pd: 0.6694 0.6653 0.3305
Pd: 0.3306 0.8347 0.6695
Pd: 0.6693 0.1653 0.3305
Pd: 0.3306 0.3348 0.6695
Pt: 0.5000 0.2500 0.0000
Pt: 0.5000 0.7500 0.0000
Pt: 0.1583 0.4126 0.3253
Pt: 0.8416 0.0874 0.6747
Pt: 0.8416 0.5874 0.6747
Pt: 0.1583 0.9126 0.3253
W: 0.0000 0.5000 0.0000
W: 0.0000 0.0000 0.0000

Summary:
V	15.5	A^3/atom
electronic total energy	-85.06	eV/cell
energy of formation from the pure elements	-1.07	eV/f.u.
ΔE to the lowest computed polymorph	25	meV per atom


# MnTl2Cl

Crystalline MnTl2Cl at its relaxed geometry (PBE, the Alexandria database).

Cell lengths 6.6319, 6.6319, 6.6319 Å; angles 142.33, 142.33, 54.33 degrees
Each line ends with the local moment (μB).
Fractional positions:
Cl: 0.5000 0.5000 0.0000  0.02
Mn: 0.7500 0.2500 0.5000  4.10
Tl: 0.0000 0.0000 0.0000  -0.02
Tl: 0.2500 0.7500 0.5000  -0.07

Summary:
V	27.0	A^3/atom
electronic total energy	-15.36	eV/cell
formation energy (no corrections)	96	meV per atom
ΔE to the lowest computed polymorph	214	meV per atom


# Cu2BiN

Crystalline Cu2BiN at its relaxed geometry (PBE, the Alexandria database).

Cell lengths 5.0013, 5.0013, 6.5191 Å; angles 67.44, 67.44, 90.00 degrees
Fractional positions:
Bi: 0.0000 0.0000 0.0000
Bi: 0.7500 0.2500 0.5000
Cu: 0.3746 0.1250 0.2500
Cu: 0.3754 0.6250 0.2500
Cu: 0.3750 0.6254 0.7500
Cu: 0.8750 0.6246 0.7500
N: 0.5000 0.5000 0.0000
N: 0.2500 0.7500 0.5000

Summary:
V	17.1	A^3/atom
electronic total energy	-37.48	eV/cell
formation energy (no corrections)	415	meV per atom
ΔE to the lowest computed polymorph	0	meV per atom


# SmLuCdCu

Crystalline SmLuCdCu at its relaxed geometry (PBE, the Alexandria database).

Cell lengths 5.1221, 5.1221, 5.1221 Å; angles 60.00, 60.00, 60.00 degrees
Fractional positions:
Lu: 0.5000 0.5000 0.5000
Sm: 0.0000 0.0000 0.0000
Cu: 0.2500 0.2500 0.2500
Cd: 0.7500 0.7500 0.7500

Summary:
V	23.8	A^3/atom
electronic total energy	-15.12	eV/cell
energy of formation from the pure elements	-0.86	eV/f.u.


# LiAc2Ge2

Crystalline LiAc2Ge2 at its relaxed geometry (PBE, the Alexandria database).

Cell lengths 4.6725, 6.1333, 6.1330 Å; angles 63.79, 67.61, 67.61 degrees
Fractional positions:
Li: 0.5000 0.5000 0.0000
Ac: 0.7103 0.7897 0.2897
Ac: 0.2897 0.2103 0.7103
Ge: 0.0000 0.2086 0.2915
Ge: 0.0000 0.7914 0.7085

Summary:
V	28.2	A^3/atom
electronic total energy	-22.23	eV/cell
energy of formation from the pure elements	-2.86	eV/f.u.
ΔE to the lowest computed polymorph	54	meV per atom


# PrTiAl2

Crystalline PrTiAl2 at its relaxed geometry (PBE, the Alexandria database).

Cell lengths 3.1604, 3.1604, 10.0576 Å; angles 80.96, 80.96, 60.00 degrees
Each line ends with the local moment (μB).
Fractional positions:
Pr: 0.5000 0.5000 0.5000  -0.02
Al: 0.7394 0.7394 0.7817  0.00
Al: 0.2606 0.2606 0.2183  0.00
Ti: 0.0000 0.0000 0.0000  0.39

Summary:
V	21.4	A^3/atom
electronic total energy	-20.06	eV/cell
energy of formation from the pure elements	0.10	eV/f.u.
ΔE to the lowest computed polymorph	286	meV per atom


Which of these has the highest V?
LiAc2Ge2